No. 1
An optimized crystal structure of PuNbSe3, computed with GGA-PBE.

a = 7.4637 Å, b = 7.4637 Å, c = 8.4971 Å
α = 91.09°, β = 91.09°, γ = 28.85°
Last column: nearest neighbours and their distance in Å.
Element x y z (fractional)
Pu (0.1039, 0.1039, 0.4071)  8 Se 2.89-3.12
Pu (0.8961, 0.8961, 0.5929)  8 Se 2.89-3.12
Nb (0.2954, 0.2954, 0.1177)  6 Se 2.62-2.81
Nb (0.7046, 0.7046, 0.8823)  6 Se 2.62-2.81
Se (0.1192, 0.1192, 0.0409)  3 Nb 2.62
Se (0.2501, 0.2501, 0.6668)  2 Nb 2.70, 2 Pu 2.89
Se (0.4498, 0.4498, 0.3244)  1 Nb 2.81, 4 Pu 2.97-3.06
Se (0.5502, 0.5502, 0.6756)  1 Nb 2.81, 4 Pu 2.97-3.06
Se (0.7499, 0.7499, 0.3332)  2 Nb 2.70, 2 Pu 2.89
Se (0.8808, 0.8808, 0.9591)  3 Nb 2.62

Output
Total magnetic moment in μB/cell: 9.67
E_form (uncorrected) in meV per atom: -1127
Symmetry: C2/m
Calculated total energy in eV/atom: -8.098
D(E_F) in states/eV per cell: 22.5

***

No. 2
An optimized crystal structure of La10HoEr4, computed with GGA-PBE.

a = 9.6544 Å, b = 9.6544 Å, c = 9.6544 Å
α = 99.70°, β = 99.70°, γ = 131.52°
Last column: nearest neighbours and their distance in Å.
Element x y z (fractional)
La (0.0490, 0.1490, 0.6999)  3 Er 3.42, 1 Ho 3.42
La (0.1490, 0.4491, 0.1000)  3 Er 3.42, 1 Ho 3.42
La (0.2500, 0.7500, 0.5000)  4 Er 3.41
La (0.3491, 0.0490, 0.9000)  3 Er 3.42, 1 Ho 3.42
La (0.4491, 0.3491, 0.3001)  3 Er 3.42, 1 Ho 3.42
La (0.5509, 0.6509, 0.6999)  3 Er 3.42, 1 Ho 3.42
La (0.6509, 0.9510, 0.1000)  3 Er 3.42, 1 Ho 3.42
La (0.7500, 0.2500, 0.5000)  4 Er 3.41
La (0.8510, 0.5509, 0.9000)  3 Er 3.42, 1 Ho 3.42
La (0.9510, 0.8510, 0.3001)  3 Er 3.42, 1 Ho 3.42
Ho (0.5000, 0.5000, 0.0000)  8 La 3.42
Er (0.1002, 0.3005, 0.4008)  8 La 3.41-3.42
Er (0.3005, 0.8998, 0.2003)  8 La 3.41-3.42
Er (0.6995, 0.1002, 0.7997)  8 La 3.41-3.42
Er (0.8998, 0.6995, 0.5992)  8 La 3.41-3.42

Output
Energy of formation in eV per atom: 0.631
Total magnetic moment in μB/cell: 0.00
Symmetry: I4/m
Calculated total energy in eV/atom: -4.176
D(E_F) in states/eV per cell: 27.5